Computed, not measured: a relaxed Na5Mo2N5 crystal at the PBE level of DFT.

Calculated values
- N(E_F) (states/eV per cell) = 2.3
- calculated total energy (eV/atom) = -6.102
- raw formation energy (meV per atom) = -278
- mass density (g/cm3) = 3.74

Cell lengths 5.8693, 5.8693, 9.2727 Å; angles 105.37, 105.37, 32.98 degrees
Fractional coordinates of all 12 atoms:
Na 0.0000 0.0000 0.0000
Na 0.1659 0.1659 0.5784
Na 0.2611 0.2611 0.8733
Na 0.7389 0.7389 0.1267
Na 0.8341 0.8341 0.4216
Mo 0.4686 0.4686 0.6989
Mo 0.5314 0.5314 0.3011
N 0.1291 0.1291 0.2897
N 0.3988 0.3988 0.1375
N 0.5000 0.5000 0.5000
N 0.6012 0.6012 0.8625
N 0.8709 0.8709 0.7103